Sm3YN: optimized geometry, PBE.

```
Sm3YN
1.0
5.083 0.000 0.000
0.000 5.083 0.000
0.000 0.000 5.083
Sm Y N
3 1 1
direct
0.000 0.000 0.500
0.000 0.500 0.000
0.500 0.000 0.000
0.500 0.500 0.500
0.000 0.000 0.000
```

Output
DOS at the Fermi energy (states/eV/f.u.): 5.43
Volume (A^3/atom): 26.26
E_form (uncorrected) (kcal/mol of atoms): -11.13
Total moment (μB per formula unit): 0.0
Space-group type: Pm-3m, No. 221